Run P
! ZnFeNiB PBE-GGA optimized geometry; values from VASP
! - SG: F-43m, No. 216
! - M_tot: 0.129 μB per cell
! - Calculated volume: 39.7 Å³ per cell
&SYSTEM
  ibrav = 0, nat = 4, ntyp = 4
/
ATOMIC_SPECIES
Fe 55.84 Fe.upf
Ni 58.69 Ni.upf
Zn 65.41 Zn.upf
B 10.81 B.upf
CELL_PARAMETERS angstrom
2.827 -1.851 1.802
0.908 0.931 3.602
-0.809 -2.411 2.863
ATOMIC_POSITIONS crystal
Fe 0.750 0.750 0.750
Ni 0.250 0.250 0.250
Zn 0.500 0.500 0.500
B 0.000 0.000 0.000

---

Run Q
! ZnFeNiB PBE-GGA optimized geometry; values from VASP
! - SG: F-43m, No. 216
! - M_tot: 2.954 μB per cell
! - Calculated volume: 41.0 Å³ per cell
&SYSTEM
  ibrav = 0, nat = 4, ntyp = 4
/
ATOMIC_SPECIES
B 10.81 B.upf
Ni 58.69 Ni.upf
Zn 65.41 Zn.upf
Fe 55.84 Fe.upf
CELL_PARAMETERS angstrom
-0.548 1.363 3.581
-2.268 3.084 0.571
-3.439 -0.420 1.725
ATOMIC_POSITIONS crystal
B 0.250 0.250 0.250
Ni 0.000 0.000 0.000
Zn 0.500 0.500 0.500
Fe 0.750 0.750 0.750

---

Stability ranking, top entry: run P; the second entry is 0.232 eV/atom less favorable.